Nd6Dy3Ho PBE relaxed; energy above the lowest structure with this stoichiometry = 0 meV/atom; SG = Cmc2_1, No. 36; energy of formation from the pure elements = 11.96 kJ per mole of atoms; density = 7.41 Mg/m³
1.0
6.4416 0.0000 0.0000
0.0000 10.2601 -5.8196
0.0000 -2.2660 11.5759
Nd Ho Dy
12 2 6
direct
0.5683 0.2589 0.3799
0.8218 0.5447 0.1061
0.8186 0.0163 0.9837
0.8218 0.8939 0.4553
0.7982 0.3006 0.6994
0.0683 0.7411 0.6201
0.3218 0.4553 0.8939
0.3218 0.1061 0.5447
0.5683 0.6201 0.7411
0.3186 0.9837 0.0163
0.0683 0.3799 0.2589
0.2982 0.6994 0.3006
0.0168 0.1580 0.8420
0.5168 0.8420 0.1580
0.5881 0.5797 0.4203
0.4917 0.9581 0.7073
0.4917 0.2927 0.0419
0.9917 0.0419 0.2927
0.0881 0.4203 0.5797
0.9917 0.7073 0.9581


Nd6Dy3Ho PBE relaxed; energy above the lowest structure with this stoichiometry = 17 meV/atom; SG = Cmc2_1, No. 36; energy of formation from the pure elements = 13.58 kJ per mole of atoms; density = 7.42 Mg/m³
1.0
6.3968 0.0000 0.0000
0.0000 10.9857 -1.7325
0.0000 -4.1403 10.3221
Ho Nd Dy
2 12 6
direct
0.6134 0.8050 0.1950
0.1134 0.1950 0.8050
0.8618 0.9413 0.5213
0.3618 0.5213 0.9413
0.8618 0.4787 0.0587
0.8825 0.0358 0.9642
0.5499 0.2885 0.3725
0.0499 0.7115 0.6275
0.5499 0.6275 0.7115
0.0499 0.3725 0.2885
0.3825 0.9642 0.0358
0.3618 0.0587 0.4787
0.6521 0.2799 0.7201
0.1521 0.7201 0.2799
0.9659 0.7151 0.9451
0.4659 0.2849 0.0549
0.0822 0.3852 0.6148
0.5822 0.6148 0.3852
0.4659 0.9451 0.7151
0.9659 0.0549 0.2849


NdDy7Ho2 PBE relaxed; energy above the lowest structure with this stoichiometry = 677 meV/atom; SG = Cmmm, No. 65; energy of formation from the pure elements = 67.25 kJ per mole of atoms; density = 6.80 Mg/m³
1.0
5.6165 0.0000 0.0000
0.0000 9.1216 -0.4836
0.0000 -4.5468 7.9224
Nd Dy Ho
1 7 2
direct
0.0000 0.0000 0.0000
0.5000 0.2922 0.0617
0.0000 0.2179 0.7821
0.5000 0.0617 0.2922
0.0000 0.7821 0.2179
0.5000 0.5000 0.5000
0.5000 0.7078 0.9383
0.5000 0.9383 0.7078
0.5000 0.7035 0.2965
0.5000 0.2965 0.7035


Nd3Dy2Ho5 PBE relaxed; energy above the lowest structure with this stoichiometry = 0 meV/atom; SG = C2/c, No. 15; energy of formation from the pure elements = 18.54 kJ per mole of atoms; density = 7.93 Mg/m³
1.0
-5.4514 5.5893 5.2631
-1.9777 -4.0708 8.2396
10.2419 2.5788 -3.5355
Nd Ho Dy
6 10 4
direct
0.2687 0.5257 0.7482
0.0205 0.7775 0.2518
0.7313 0.4743 0.2518
0.7658 0.0158 0.0315
0.2342 0.9842 0.9685
0.9795 0.2225 0.7482
0.2722 0.5222 0.0444
0.1477 0.3967 0.2751
0.7278 0.4778 0.9556
0.3726 0.1215 0.7249
0.8523 0.6033 0.7249
0.6274 0.8785 0.2751
0.0263 0.7763 0.5526
0.4705 0.7205 0.4411
0.9737 0.2237 0.4474
0.5295 0.2795 0.5589
0.2310 0.9872 0.2650
0.4660 0.7222 0.7350
0.7690 0.0128 0.7350
0.5340 0.2778 0.2650